# BaFePdW2, PBEsol geometry, DFT meta-GGA SCAN
data_BaFePdW2
_chemical_formula_sum 'Ba1 Fe1 Pd1 W2'
_cell_length_a 4.4737
_cell_length_b 4.4737
_cell_length_c 5.0889
_cell_angle_alpha 90.00
_cell_angle_beta 90.00
_cell_angle_gamma 90.00
_space_group_name_H-M_alt 'P 1'
_space_group_IT_number 1
loop_
_space_group_symop_operation_xyz
'x,y,z'
loop_
_atom_site_label
_atom_site_type_symbol
_atom_site_fract_x
_atom_site_fract_y
_atom_site_fract_z
_atom_site_occupancy
Ba1 Ba 0.5000 0.5000 0.5000 1
Pd1 Pd 0.0000 0.0000 0.5000 1
Fe1 Fe 0.0000 0.0000 0.0000 1
W1 W 0.0000 0.5000 0.0000 1
W2 W 0.5000 0.0000 0.0000 1
# Formation energy = 1254 meV/atom
# V = 20.37 A^3/atom
# Raw total energy = -44.7117 eV per atom
# Fermi-level density of states = 0.944 states/eV/atom
# Space group = No. 123



# BaFe2Pt, PBEsol geometry, DFT meta-GGA SCAN
data_BaFe2Pt
_chemical_formula_sum 'Ba1 Fe2 Pt1'
_cell_length_a 3.1776
_cell_length_b 3.1098
_cell_length_c 7.4853
_cell_angle_alpha 90.00
_cell_angle_beta 90.00
_cell_angle_gamma 90.00
_space_group_name_H-M_alt 'P 1'
_space_group_IT_number 1
loop_
_space_group_symop_operation_xyz
'x,y,z'
loop_
_atom_site_label
_atom_site_type_symbol
_atom_site_fract_x
_atom_site_fract_y
_atom_site_fract_z
_atom_site_occupancy
Pt1 Pt 0.0000 0.0000 0.4267 1
Fe1 Fe 0.5000 0.5000 0.2352 1
Fe2 Fe 0.0000 0.0000 0.0896 1
Ba1 Ba 0.5000 0.5000 0.7485 1
# Formation energy = 195 meV/atom
# V = 18.49 A^3/atom
# Raw total energy = -36.3052 eV per atom
# Fermi-level density of states = 0.825 states/eV/atom
# Space group = No. 25